Entry 1:
Material: K2MnSiS4
Method: DFT, PBE
State: optimized geometry

```
K2MnSiS4
1.0
-2.252 3.738 3.737
-7.159 0.622 -0.521
-2.448 -6.770 9.713
S K Si Mn
8 4 2 2
Cartesian
-8.419 -0.342 8.801
-6.775 1.028 1.796
-2.908 1.557 3.031
-3.585 -1.828 4.368
-4.837 -1.973 7.608
-4.103 -5.067 9.504
-6.877 -0.677 5.081
-9.933 -2.339 11.527
-6.971 -3.399 10.239
-2.731 0.609 6.577
-1.969 -3.642 6.872
-6.014 2.858 4.558
-5.367 -2.139 5.530
-1.126 1.869 1.868
0.000 0.000 0.000
-6.493 -0.271 7.399
```

Output
- energy relative to the elements, uncorrected (eV/atom) = -0.96

Entry 2:
Material: KMnSiS4
Method: DFT, PBE
State: optimized geometry

```
KMnSiS4
1.0
-3.252 3.659 -3.626
-4.341 1.065 4.968
7.333 3.024 5.759
S Mn K Si
8 2 2 2
Cartesian
2.645 2.872 6.080
2.627 5.173 3.434
0.477 3.178 1.983
-2.904 4.875 1.022
-0.737 4.569 5.118
4.709 2.366 3.718
-4.968 5.382 3.384
-2.887 2.574 3.668
-2.434 4.996 3.544
2.175 2.751 3.558
-1.712 1.749 0.377
1.452 5.999 6.725
1.033 5.197 2.036
-1.293 2.550 5.065
```

Output
- energy relative to the elements, uncorrected (eV/atom) = -0.74
- DOS(E_F) (states/eV/atom) = 0.043

Entry 3:
Material: K3Sm2MnS6
Method: DFT, PBE
State: optimized geometry

```
K3Sm2MnS6
1.0
6.974 -0.049 0.004
-3.528 6.016 0.004
-1.145 -1.983 7.360
S K Sm Mn
6 3 2 1
Cartesian
3.405 2.077 5.870
2.204 -0.003 1.499
-1.104 1.908 1.499
-0.140 -0.242 5.999
0.097 3.987 5.870
2.441 4.227 1.370
4.639 -0.022 3.684
-2.338 4.007 3.684
1.151 1.992 3.684
3.500 1.958 0.004
-0.053 4.010 0.004
0.000 0.000 0.000
```

Output
- energy relative to the elements, uncorrected (eV/atom) = -1.45
- DOS(E_F) (states/eV/atom) = 0.247

Entry 4:
Material: K3Sm3MnS8
Method: DFT, PBE
State: optimized geometry

```
K3Sm3MnS8
1.0
7.990 0.000 0.000
-3.995 6.921 -0.029
0.000 -4.584 7.526
K Mn Sm S
3 1 3 8
Cartesian
0.000 0.000 0.000
1.997 3.460 -0.015
-1.997 3.460 -0.015
0.000 -2.292 3.763
-1.997 1.169 3.748
1.997 1.168 3.748
3.995 -2.292 3.763
2.239 3.620 5.128
3.995 0.022 5.310
0.000 2.315 2.186
3.995 2.595 2.352
0.000 -0.258 5.145
-2.239 3.620 5.128
1.756 -1.284 2.368
6.234 -1.284 2.368
```

Output
- energy relative to the elements, uncorrected (eV/atom) = -1.52

Entry 5:
Material: K10Mn4Sn4S17
Method: DFT, PBE
State: optimized geometry

```
K10Mn4Sn4S17
1.0
-3.743 -1.770 -9.277
0.851 -10.021 1.437
-9.434 -0.386 3.749
K S Sn Mn
10 17 4 4
Cartesian
-5.308 -4.618 -4.370
-12.752 -7.154 -4.811
-7.156 -4.168 -0.141
-7.877 -6.882 -6.363
-7.598 -11.982 -5.970
-10.450 -11.289 0.558
-10.532 -6.236 -0.285
-8.302 -8.201 -2.755
-5.733 -10.732 -1.364
-3.817 -7.296 -0.892
-2.512 -4.030 -6.294
-2.747 -10.520 -0.082
-11.507 -8.936 -1.947
-5.351 -7.729 -3.657
-1.989 -7.355 2.028
-6.907 -7.350 -0.095
-4.372 -4.319 -1.451
-12.315 -12.165 -4.087
-5.290 -1.427 -5.669
-7.841 -0.807 0.170
-6.049 -4.590 -7.782
-0.452 -7.729 -1.491
-9.958 -9.313 -5.492
-6.600 -3.035 3.064
-10.139 -3.595 1.580
-8.708 -11.558 -2.576
-8.164 -5.094 -3.025
-7.494 -8.458 1.912
-10.009 -3.941 -3.954
-2.739 -2.706 -0.909
-4.378 -9.216 -5.220
-1.054 -8.928 0.489
-10.657 -10.528 -3.537
-4.390 -2.937 -7.291
-8.523 -1.932 2.167
```

Output
- energy relative to the elements, uncorrected (eV/atom) = -0.89

Entry 6:
Material: KMnSn2S6
Method: DFT, PBE
State: optimized geometry

```
KMnSn2S6
1.0
6.675 0.112 0.116
2.201 9.387 1.064
2.201 0.715 9.420
S Sn K Mn
12 4 2 2
Cartesian
4.951 3.702 2.201
3.276 0.796 7.233
1.613 2.007 3.723
8.938 4.299 7.310
7.801 9.418 3.366
2.139 5.914 3.290
5.601 7.089 4.509
9.463 8.207 6.876
5.476 3.124 6.090
4.464 2.959 9.478
6.613 7.255 1.121
6.126 6.512 8.398
5.790 2.046 3.833
5.287 8.167 6.766
2.453 3.699 2.129
8.624 6.515 8.470
7.207 1.772 8.569
3.870 8.441 2.031
3.870 2.832 7.436
7.207 7.381 3.164
```

Output
- energy relative to the elements, uncorrected (eV/atom) = -0.42

Entry 7:
Material: K3TaMn3S8
Method: DFT, PBE
State: optimized geometry

```
K3TaMn3S8
1.0
-4.939 5.026 2.327
0.887 -6.010 3.802
6.399 5.605 0.611
S Mn Ta K
8 3 1 3
Cartesian
-1.828 5.412 2.197
1.572 1.734 5.732
-1.387 2.389 4.108
4.175 -0.791 4.544
0.776 2.887 1.009
1.163 4.702 3.777
1.184 -0.081 2.964
3.734 2.232 2.633
0.730 5.316 1.469
3.643 -0.203 2.207
1.174 2.310 3.371
3.200 2.803 0.306
0.000 0.000 0.000
-2.026 -0.492 3.065
0.444 -3.005 1.901
```

Output
- energy relative to the elements, uncorrected (eV/atom) = -0.87
- DOS(E_F) (states/eV/atom) = 0.381

Entry 8:
Material: K3Tb2MnS6
Method: DFT, PBE
State: optimized geometry

```
K3Tb2MnS6
1.0
-5.435 4.223 0.187
0.176 -5.339 -4.344
-1.399 -3.889 6.477
K S Tb Mn
3 6 2 1
Cartesian
-1.467 -5.677 -0.344
-3.329 -2.503 1.160
-5.191 0.671 2.664
-6.071 -2.451 2.685
-2.370 0.484 1.075
-0.587 -2.555 -0.365
-2.380 -3.434 4.300
-4.278 -1.572 -1.980
-4.288 -5.490 1.245
-3.579 1.059 -1.313
-1.681 -2.175 -2.845
0.000 0.000 0.000
```

Output
- energy relative to the elements, uncorrected (eV/atom) = -1.47
- DOS(E_F) (states/eV/atom) = 0.277

How do the records compare in total moment? In the order shown, they have 0.6250 0.5714 0.3333 0.1982 0.5714 0.2013 0.8688 0.3333 μB/atom.